Crystalline La2NdNi3 at its relaxed geometry, computed with PBE.

Cell lengths 13.825, 7.919, 5.072 Å; angles 90.00, 90.00, 90.00 degrees
Space group Cmcm (No. 63)
Symmetry-distinct sites (fractional):
La: 0.163 0.171 0.250 [8 per cell]
Nd: 0.000 0.340 0.750 [4 per cell]
Ni: 0.000 0.000 0.000 [4 per cell]
Ni: 0.168 0.500 0.000 [8 per cell]

Output
Energy of formation from the pure elements   -284 meV per atom

=====

Crystalline Pr4Nd2H at its relaxed geometry, computed with PBE.

Cell lengths 5.025, 5.025, 17.936 Å; angles 90.00, 90.00, 90.00 degrees
Space group I4/mmm (No. 139)
Symmetry-distinct sites (fractional):
Pr: 0.000 0.000 0.153 [4 per cell]
Pr: 0.000 0.500 0.000 [4 per cell]
Nd: 0.000 0.000 0.354 [4 per cell]
H: 0.000 0.000 0.000 [2 per cell]

=====

Crystalline NdScP2O8 at its relaxed geometry, computed with PBE.

Cell lengths 5.1951, 5.1951, 6.8769 Å; angles 90.00, 90.00, 120.00 degrees
Space group P-3 (No. 147)
Symmetry-distinct sites (fractional):
Nd: 0.0000 0.0000 0.0000 [1 per cell]
Sc: 0.0000 0.0000 0.5000 [1 per cell]
P: 0.3333 0.6667 0.7802 [2 per cell]
O: 0.1695 0.3418 0.7051 [6 per cell]
O: 0.3333 0.6667 0.0030 [2 per cell]

Output
E_form (uncorrected)   -2.8751 eV/atom

=====

Crystalline Ce2Al5Os2Au at its relaxed geometry, computed with PBE.

Cell lengths 9.376, 9.376, 4.267 Å; angles 90.00, 90.00, 90.00 degrees
Space group P4/mbm (No. 127)
Symmetry-distinct sites (fractional):
Ce: 0.184 0.316 0.000 [4 per cell]
Al: 0.000 0.500 0.500 [2 per cell]
Al: 0.059 0.791 0.500 [8 per cell]
Os: 0.117 0.617 0.000 [4 per cell]
Au: 0.000 0.000 0.000 [2 per cell]

Output
Energy of formation from the pure elements   -400 meV per atom

=====

Crystalline LiAgBr2 at its relaxed geometry, computed with PBE.

Cell lengths 3.858, 3.858, 15.426 Å; angles 90.00, 90.00, 90.00 degrees
Space group I-4m2 (No. 119)
Symmetry-distinct sites (fractional):
Li: 0.000 0.000 0.000 [2 per cell]
Ag: 0.000 0.500 0.750 [2 per cell]
Br: 0.000 0.000 0.500 [2 per cell]
Br: 0.000 0.500 0.250 [2 per cell]

Output
E_form (uncorrected)   -0.7983 eV/atom

=====

Crystalline Ce5In4Au at its relaxed geometry, computed with PBE.

Cell lengths 4.070, 4.070, 16.532 Å; angles 90.00, 90.00, 90.00 degrees
Space group P4/mmm (No. 123)
Symmetry-distinct sites (fractional):
Ce: 0.000 0.000 0.000 [1 per cell]
Ce: 0.000 0.000 0.202 [2 per cell]
Ce: 0.000 0.000 0.410 [2 per cell]
In: 0.500 0.500 0.101 [2 per cell]
In: 0.500 0.500 0.305 [2 per cell]
Au: 0.500 0.500 0.500 [1 per cell]

Output
Energy of formation from the pure elements   -360 meV per atom

=====

Crystalline NaDy3Se4 at its relaxed geometry, computed with PBE.

Cell lengths 5.777, 5.777, 11.603 Å; angles 90.00, 90.00, 90.00 degrees
Space group I4/mmm (No. 139)
Symmetry-distinct sites (fractional):
Na: 0.000 0.000 0.000 [2 per cell]
Dy: 0.000 0.000 0.500 [2 per cell]
Dy: 0.000 0.500 0.250 [4 per cell]
Se: 0.000 0.000 0.250 [4 per cell]
Se: 0.000 0.500 0.000 [4 per cell]

Output
E_form (uncorrected)   -1.7277 eV/atom

=====

Crystalline HoEr2Sn at its relaxed geometry, computed with PBE.

Cell lengths 5.454, 12.603, 6.742 Å; angles 90.00, 90.00, 90.00 degrees
Space group Cmcm (No. 63)
Symmetry-distinct sites (fractional):
Ho: 0.000 0.070 0.250 [4 per cell]
Er: 0.000 0.368 0.017 [8 per cell]
Sn: 0.000 0.172 0.750 [4 per cell]

Output
Energy of formation from the pure elements   -256 meV per atom

=====

Crystalline La2TlCdPt at its relaxed geometry, computed with PBE.

Cell lengths 7.976, 4.567, 8.139 Å; angles 90.00, 109.40, 90.00 degrees
Space group P2_1/m (No. 11)
Symmetry-distinct sites (fractional):
La: 0.023 0.250 0.208 [2 per cell]
La: 0.336 0.750 0.611 [2 per cell]
Tl: 0.331 0.750 0.194 [2 per cell]
Cd: 0.343 0.250 0.949 [2 per cell]
Pt: 0.089 0.250 0.608 [2 per cell]

Output
Energy of formation from the pure elements   -693 meV per atom

=====

Crystalline PaCd3Pd12 at its relaxed geometry, computed with PBE.

Cell lengths 4.096, 4.096, 15.994 Å; angles 90.00, 90.00, 90.00 degrees
Space group P4/mmm (No. 123)
Symmetry-distinct sites (fractional):
Pa: 0.000 0.000 0.000 [1 per cell]
Cd: 0.000 0.000 0.255 [2 per cell]
Cd: 0.000 0.000 0.500 [1 per cell]
Pd: 0.000 0.500 0.125 [4 per cell]
Pd: 0.000 0.500 0.377 [4 per cell]
Pd: 0.500 0.500 0.000 [1 per cell]
Pd: 0.500 0.500 0.252 [2 per cell]
Pd: 0.500 0.500 0.500 [1 per cell]

Output
Energy of formation from the pure elements   -424 meV per atom

=====

Crystalline Ca3CdAg3 at its relaxed geometry, computed with PBE.

Cell lengths 11.687, 4.336, 15.519 Å; angles 90.00, 108.09, 90.00 degrees
Space group C2/m (No. 12)
Symmetry-distinct sites (fractional):
Ca: 0.013 0.000 0.378 [4 per cell]
Ca: 0.111 0.000 0.925 [4 per cell]
Ca: 0.235 0.000 0.225 [4 per cell]
Cd: 0.225 0.500 0.389 [4 per cell]
Ag: 0.017 0.500 0.227 [4 per cell]
Ag: 0.108 0.500 0.076 [4 per cell]
Ag: 0.125 0.500 0.541 [4 per cell]

Output
Energy of formation from the pure elements   -307 meV per atom

=====

Crystalline Ca2HfSn at its relaxed geometry, computed with PBE.

Cell lengths 8.790, 8.790, 6.196 Å; angles 90.00, 90.00, 90.00 degrees
Space group I-42d (No. 122)
Symmetry-distinct sites (fractional):
Ca: 0.228 0.750 0.125 [8 per cell]
Hf: 0.000 0.000 0.500 [4 per cell]
Sn: 0.000 0.000 0.000 [4 per cell]

Output
Energy of formation from the pure elements   361 meV per atom

=====

Number 1: E_tot -134.69 eV per cell. Number 2: E_tot -63.15 eV per cell. Number 3: E_tot -96.09 eV per cell. Number 4: E_tot -120.64 eV per cell. Number 5: E_tot -22.61 eV per cell. Number 6: E_tot -47.50 eV per cell. Number 7: E_tot -85.77 eV per cell. Number 8: E_tot -74.92 eV per cell. Number 9: E_tot -45.28 eV per cell. Number 10: E_tot -81.33 eV per cell. Number 11: E_tot -70.48 eV per cell. Number 12: E_tot -66.07 eV per cell.